# 1
LaGa6Pt4 | Alexandria | PBE | optimized geometry; energy relative to the elements = -0.7944 eV/atom; spin magnetization = 0.00 Bohr magnetons per cell; total DFT energy (no corrections) = -5.0900 eV per atom
1.0
4.106 0.000 0.000
0.000 7.409 0.000
0.000 -3.705 6.417
La Ga Pt
1 6 4
Direct
0.000 0.000 0.000
0.000 0.534 0.068
0.500 0.604 0.802
0.000 0.534 0.466
0.000 0.932 0.466
0.500 0.198 0.802
0.500 0.198 0.396
0.500 0.798 0.596
0.500 0.404 0.202
0.500 0.798 0.202
0.000 0.333 0.667

---

# 2
Nb2VC | Alexandria | PBE | optimized geometry; energy relative to the elements = 0.0975 eV/atom; spin magnetization = 0.01 Bohr magnetons per cell; total DFT energy (no corrections) = -9.5230 eV per atom
1.0
-2.662 -3.743 -6.132
-5.219 -3.485 4.393
-5.271 -2.076 -1.230
Nb C V
4 2 2
Direct
0.496 0.125 0.250
0.254 0.625 0.250
0.375 0.504 0.750
0.875 0.746 0.750
0.500 0.500 0.000
0.250 0.750 0.500
0.000 0.000 0.000
0.750 0.250 0.500

---

# 3
PrCoGe2Os | Alexandria | PBE | optimized geometry; energy relative to the elements = -0.4800 eV/atom; spin magnetization = 0.00 Bohr magnetons per cell; total DFT energy (no corrections) = -6.9500 eV per atom
1.0
4.160 0.000 0.000
0.000 4.160 0.000
-2.080 -2.080 5.189
Pr Co Ge Os
1 1 2 1
Direct
0.000 0.000 0.000
0.750 0.250 0.500
0.630 0.630 0.261
0.370 0.370 0.739
0.250 0.750 0.500

---

# 4
BaCd2InBi | Alexandria | PBE | optimized geometry; energy relative to the elements = -0.3592 eV/atom; spin magnetization = 0.00 Bohr magnetons per cell; total DFT energy (no corrections) = -2.4336 eV per atom
1.0
5.160 0.000 0.000
0.000 5.007 0.000
-2.580 -2.503 6.231
Ba Cd In Bi
1 2 1 1
Direct
0.442 0.442 0.883
0.676 0.176 0.352
0.071 0.071 0.143
0.189 0.689 0.378
0.834 0.834 0.668

---

# 5
Ac2ErTh | Alexandria | PBE | optimized geometry; energy relative to the elements = 0.1282 eV/atom; polymorph energy (0 for the lowest one) = 0.000 eV/f.u.; spin magnetization = 0.00 Bohr magnetons per cell; total DFT energy (no corrections) = -4.9217 eV per atom
1.0
3.769 0.000 0.000
0.000 3.769 0.000
0.000 0.000 10.570
Ac Th Er
2 1 1
Direct
0.000 0.000 0.749
0.000 0.000 0.251
0.500 0.500 0.500
0.500 0.500 0.000

---

# 6
BaTaBr2 | Alexandria | PBE | optimized geometry; polymorph energy (0 for the lowest one) = 0.042 eV/f.u.; formation energy (no corrections) = -0.22 eV/atom; spin magnetization = 0.53 Bohr magnetons per cell; total DFT energy (no corrections) = -4.4964 eV per atom
1.0
-0.975 2.219 2.680
0.038 -2.776 2.313
8.891 1.668 1.855
Ba Br Ta
1 2 1
Direct
0.500 0.500 0.751
0.000 0.000 0.968
0.500 0.500 0.330
0.000 0.000 0.451